The following is a DFT calculation (PBE-GGA) of crystalline Dy3PtSeCl at its relaxed geometry.

Properties
Total magnetic moment, μB per formula unit: 0.00
Space-group type: No. 11
Final energy, eV per atom: -5.597

a = 4.022 Å, b = 8.188 Å, c = 9.861 Å
α = 94.13°, β = 90.00°, γ = 90.00°
Atoms (fractional coordinates):
1 Se 0.250 0.085 0.165
2 Se 0.750 0.915 0.835
3 Dy 0.250 0.644 0.394
4 Dy 0.750 0.820 0.114
5 Cl 0.250 0.136 0.593
6 Dy 0.250 0.180 0.886
7 Pt 0.750 0.431 0.892
8 Dy 0.750 0.356 0.606
9 Dy 0.750 0.350 0.185
10 Cl 0.750 0.864 0.407
11 Pt 0.250 0.569 0.108
12 Dy 0.250 0.650 0.815